[1]
The following is a PBE-GGA calculation of an optimized crystal structure of Sm2Er4MgSc, from Alexandria.

Unit cell a=4.910 b=4.923 c=9.837 alpha=90.00 beta=90.00 gamma=90.00
Space group Pmmm (No. 47)
Symmetry-distinct sites (fractional):
Sm 0.000 0.000 0.000
Sm 0.500 0.500 0.500
Er 0.000 0.500 0.245
Er 0.500 0.000 0.246
Mg 0.000 0.000 0.500
Sc 0.500 0.500 0.000

---

[2]
The following is a PBE-GGA calculation of an optimized crystal structure of Tb2ErMg5Sc2, from Alexandria.

Unit cell a=10.300 b=10.300 c=4.957 alpha=90.00 beta=90.00 gamma=90.00
Space group P4/mbm (No. 127)
Symmetry-distinct sites (fractional):
Tb 0.179 0.321 0.000
Er 0.000 0.000 0.000
Mg 0.000 0.500 0.500
Mg 0.069 0.797 0.500
Sc 0.116 0.616 0.000

---

Number 1: final energy -4.41 eV per atom, formation enthalpy at 0 K 0.31 eV/f.u., magnetic moment 0.0 μB/f.u.. Number 2: final energy -3.42 eV per atom, formation enthalpy at 0 K 0.25 eV/f.u., magnetic moment 0.0 μB/f.u..